Entry 1
First-principles (PBE) data for a geometry-optimized SrCd2InTc structure, as listed in the Alexandria database.

The structure in POSCAR format:
```
SrCd2InTc
1.0
5.3849 0.0000 0.0000
0.0000 5.3849 0.0000
0.0000 0.0000 5.5294
Sr Cd In Tc
1 2 1 1
Direct
0.0000 0.0000 0.0000
0.0000 0.5000 0.5000
0.5000 0.0000 0.5000
0.5000 0.5000 0.5000
0.5000 0.5000 0.0000
```

Calculated density ... 5.44 Mg/m³
Magnetization ... 0.558 μB per atom
N(E_F) ... 3.73 states/eV per cell
SG ... P4/mmm, No. 123



Entry 2
First-principles (PBE) data for a geometry-optimized SrCd2InTc structure, as listed in the Alexandria database.

The structure in POSCAR format:
```
SrCd2InTc
1.0
5.2469 0.0000 0.0000
0.0000 5.2469 0.0000
0.0000 0.0000 5.1468
Sr Cd In Tc
1 2 1 1
Direct
0.0000 0.0000 0.0000
0.0000 0.5000 0.5000
0.5000 0.0000 0.5000
0.5000 0.5000 0.0000
0.5000 0.5000 0.5000
```

Calculated density ... 6.16 Mg/m³
Magnetization ... 0.000 μB per atom
N(E_F) ... 1.88 states/eV per cell
SG ... P4/mmm, No. 123



Which structure is the most stable? The one labeled entry 2.



Entry 1
First-principles (PBE) data for a geometry-optimized SrZnCd2In structure, as listed in the Alexandria database.

The structure in POSCAR format:
```
SrZnCd2In
1.0
-2.2961 2.3078 6.0998
2.2961 -2.3078 6.0998
2.2961 2.3078 -6.0998
Sr Zn Cd In
1 1 2 1
Direct
0.0000 0.0000 0.0000
0.3916 0.3916 0.0000
0.6086 0.6086 0.0000
0.7618 0.2618 0.5000
0.2613 0.7613 0.5000
```

Calculated density ... 6.33 Mg/m³
Magnetization ... 0.000 μB per atom
N(E_F) ... 2.36 states/eV per cell
SG ... Imm2, No. 44



Entry 2
First-principles (PBE) data for a geometry-optimized SrZnCd2In structure, as listed in the Alexandria database.

The structure in POSCAR format:
```
SrZnCd2In
1.0
5.2206 0.0000 0.0000
0.0000 5.2206 0.0000
0.0000 0.0000 5.2570
Sr Zn Cd In
1 1 2 1
Direct
0.0000 0.0000 0.0000
0.5000 0.5000 0.5000
0.0000 0.5000 0.5000
0.5000 0.0000 0.5000
0.5000 0.5000 0.0000
```

Calculated density ... 5.71 Mg/m³
Magnetization ... 0.000 μB per atom
N(E_F) ... 3.22 states/eV per cell
SG ... P4/mmm, No. 123



Which structure is the most stable? The one labeled entry 1.



Entry 1
First-principles (PBE) data for a geometry-optimized TaCdIn structure, as listed in the Alexandria database.

The structure in POSCAR format:
```
TaCdIn
1.0
3.0808 0.0000 0.0000
-1.5404 2.6680 0.0000
0.0000 0.0000 7.6149
Ta Cd In
1 1 1
Direct
0.0000 0.0000 0.0000
0.3333 0.6667 0.3263
0.6667 0.3333 0.6778
```

Calculated density ... 10.83 Mg/m³
Magnetization ... 0.000 μB per atom
N(E_F) ... 2.98 states/eV per cell
SG ... P3m1, No. 156



Entry 2
First-principles (PBE) data for a geometry-optimized TaCdIn structure, as listed in the Alexandria database.

The structure in POSCAR format:
```
TaCdIn
1.0
-1.4810 2.0095 5.2154
1.4810 -2.0095 5.2154
1.4810 2.0095 -5.2154
Ta Cd In
1 1 1
Direct
0.0000 0.0000 0.0000
0.6625 0.6625 0.0000
0.3376 0.3376 0.0000
```

Calculated density ... 10.92 Mg/m³
Magnetization ... 0.000 μB per atom
N(E_F) ... 2.20 states/eV per cell
SG ... Imm2, No. 44



Entry 3
First-principles (PBE) data for a geometry-optimized TaCdIn structure, as listed in the Alexandria database.

The structure in POSCAR format:
```
TaCdIn
1.0
0.0000 3.2855 3.2855
3.2855 0.0000 3.2855
3.2855 3.2855 0.0000
Ta Cd In
1 1 1
Direct
0.0000 0.0000 0.0000
0.5000 0.5000 0.5000
0.7500 0.7500 0.7500
```

Calculated density ... 9.56 Mg/m³
Magnetization ... 0.001 μB per atom
N(E_F) ... 2.96 states/eV per cell
SG ... F-43m, No. 216



Which structure is the most stable? The one labeled entry 1.



Entry 1
First-principles (PBE) data for a geometry-optimized TaCd3In structure, as listed in the Alexandria database.

The structure in POSCAR format:
```
TaCd3In
1.0
5.5181 0.0000 0.0000
0.0000 5.5181 0.0000
0.0000 0.0000 5.5181
Ta Cd In
1 3 1
Direct
0.0000 0.0000 0.0000
0.0000 0.0000 0.5000
0.0000 0.5000 0.0000
0.5000 0.0000 0.0000
0.5000 0.5000 0.5000
```

Calculated density ... 6.26 Mg/m³
Magnetization ... 0.523 μB per atom
N(E_F) ... 5.12 states/eV per cell
SG ... Pm-3m, No. 221



Entry 2
First-principles (PBE) data for a geometry-optimized TaCd3In structure, as listed in the Alexandria database.

The structure in POSCAR format:
```
TaCd3In
1.0
5.3235 0.0000 0.0000
0.0000 5.3235 0.0000
0.0000 0.0000 5.3235
Ta Cd In
1 3 1
Direct
0.0000 0.0000 0.0000
0.0000 0.5000 0.5000
0.5000 0.0000 0.5000
0.5000 0.5000 0.0000
0.5000 0.5000 0.5000
```

Calculated density ... 6.97 Mg/m³
Magnetization ... 0.653 μB per atom
N(E_F) ... 10.00 states/eV per cell
SG ... Pm-3m, No. 221



Which structure is the most stable? The one labeled entry 1.